one.
VASP calculation (PBE) on Pr6ErCd after structural relaxation.

Structure (POSCAR):
```
Pr6ErCd
1.0
6.600 0.035 -0.047
3.316 5.781 0.006
3.270 1.955 8.368
Pr Er Cd
6 1 1
Direct
0.037 0.427 0.711
0.816 0.028 0.714
0.569 0.187 0.285
0.184 0.972 0.286
0.963 0.573 0.289
0.431 0.813 0.715
0.500 0.500 0.500
0.000 0.000 0.000
```

Values from the calculation:
space group	No. 2



two.
VASP calculation (PBE) on Pr6ErCd after structural relaxation.

Structure (POSCAR):
```
Pr6ErCd
1.0
5.071 0.000 0.000
0.000 5.071 0.000
0.000 0.000 10.332
Pr Er Cd
6 1 1
Direct
0.500 0.500 0.000
0.500 0.500 0.500
0.500 0.000 0.246
0.500 0.000 0.754
0.000 0.500 0.246
0.000 0.500 0.754
0.000 0.000 0.500
0.000 0.000 0.000
```

Values from the calculation:
space group	No. 123



The calculated energies rank the structures as follows, beginning with the most stable: two, one.



one.
VASP calculation (PBE) on PrErCdRu after structural relaxation.

Structure (POSCAR):
```
PrErCdRu
1.0
-0.222 4.340 2.702
-0.607 -0.176 5.077
3.871 1.293 3.086
Pr Ru Cd Er
1 1 1 1
Direct
0.000 0.000 0.000
0.750 0.750 0.750
0.250 0.250 0.250
0.500 0.500 0.500
```

Values from the calculation:
space group	No. 216



two.
VASP calculation (PBE) on PrErCdRu after structural relaxation.

Structure (POSCAR):
```
PrErCdRu
1.0
-1.652 1.918 2.435
-3.060 -1.452 -0.933
1.105 -5.691 5.232
Pr Er Cd Ru
1 1 1 1
Direct
0.500 0.500 0.787
0.500 0.500 0.355
0.000 0.000 0.090
0.000 0.000 0.554
```

Values from the calculation:
space group	No. 99



The calculated energies rank the structures as follows, beginning with the most stable: two, one.



one.
VASP calculation (PBE) on PrErTlCd after structural relaxation.

Structure (POSCAR):
```
PrErTlCd
1.0
5.418 0.000 0.000
2.709 4.692 0.000
2.709 1.564 4.424
Pr Tl Cd Er
1 1 1 1
Direct
0.000 0.000 0.000
0.250 0.250 0.250
0.750 0.750 0.750
0.500 0.500 0.500
```

Values from the calculation:
space group	No. 216



two.
VASP calculation (PBE) on PrErTlCd after structural relaxation.

Structure (POSCAR):
```
PrErTlCd
1.0
-2.732 -0.688 -3.913
-3.426 -1.998 2.743
1.078 5.652 1.224
Pr Er Tl Cd
1 1 1 1
Direct
0.250 0.750 0.500
0.750 0.250 0.500
0.500 0.500 0.000
0.000 0.000 0.000
```

Values from the calculation:
space group	No. 119



The calculated energies rank the structures as follows, beginning with the most stable: one, two.